(1)
# GGA-PBE Ag2MoIr, relaxed
# **Final energy**: -24.37 eV per cell
# **Space group**: Cmm2 (35)
# **ΔE to the lowest computed polymorph**: 0.509 eV per formula unit
data_Ag2MoIr
_chemical_formula_sum 'Ag2 Mo1 Ir1'
_symmetry_space_group_name_H-M 'P 1'
_symmetry_Int_Tables_number 1
_cell_length_a 2.760
_cell_length_b 2.760
_cell_length_c 9.752
_cell_angle_alpha 90.00
_cell_angle_beta 90.00
_cell_angle_gamma 116.49
loop_
_symmetry_equiv_pos_as_xyz
'x,y,z'
loop_
_atom_site_label
_atom_site_fract_x
_atom_site_fract_y
_atom_site_fract_z
Ag1 0.000 0.000 0.997
Ag2 0.500 0.500 0.255
Ir1 0.000 0.000 0.513
Mo1 0.500 0.500 0.736

---

(2)
# GGA-PBE Ag2MoIr, relaxed
# **Final energy**: -23.43 eV per cell
# **Space group**: I4/mmm (139)
# **ΔE to the lowest computed polymorph**: 1.448 eV per formula unit
data_Ag2MoIr
_chemical_formula_sum 'Ag2 Mo1 Ir1'
_symmetry_space_group_name_H-M 'P 1'
_symmetry_Int_Tables_number 1
_cell_length_a 5.271
_cell_length_b 5.271
_cell_length_c 5.271
_cell_angle_alpha 137.79
_cell_angle_beta 137.79
_cell_angle_gamma 61.23
loop_
_symmetry_equiv_pos_as_xyz
'x,y,z'
loop_
_atom_site_label
_atom_site_fract_x
_atom_site_fract_y
_atom_site_fract_z
Ag1 0.000 0.000 0.000
Ag2 0.500 0.500 0.000
Ir1 0.250 0.750 0.500
Mo1 0.750 0.250 0.500

---

(3)
# GGA-PBE Ag2MoIr, relaxed
# **Final energy**: -23.61 eV per cell
# **Space group**: I-4m2 (119)
# **ΔE to the lowest computed polymorph**: 1.268 eV per formula unit
data_Ag2MoIr
_chemical_formula_sum 'Ag2 Mo1 Ir1'
_symmetry_space_group_name_H-M 'P 1'
_symmetry_Int_Tables_number 1
_cell_length_a 4.814
_cell_length_b 4.814
_cell_length_c 4.814
_cell_angle_alpha 129.65
_cell_angle_beta 129.77
_cell_angle_gamma 73.86
loop_
_symmetry_equiv_pos_as_xyz
'x,y,z'
loop_
_atom_site_label
_atom_site_fract_x
_atom_site_fract_y
_atom_site_fract_z
Ag1 0.000 0.000 0.000
Ag2 0.750 0.250 0.500
Ir1 0.500 0.500 0.000
Mo1 0.250 0.750 0.500

---

(4)
# GGA-PBE Ag2MoIr, relaxed
# **Final energy**: -24.88 eV per cell
# **Space group**: R3m (160)
# **ΔE to the lowest computed polymorph**: 0.000 eV per formula unit
data_Ag2MoIr
_chemical_formula_sum 'Ag2 Mo1 Ir1'
_symmetry_space_group_name_H-M 'P 1'
_symmetry_Int_Tables_number 1
_cell_length_a 9.661
_cell_length_b 9.661
_cell_length_c 9.661
_cell_angle_alpha 16.83
_cell_angle_beta 16.83
_cell_angle_gamma 16.83
loop_
_symmetry_equiv_pos_as_xyz
'x,y,z'
loop_
_atom_site_label
_atom_site_fract_x
_atom_site_fract_y
_atom_site_fract_z
Ag1 0.002 0.002 0.002
Ag2 0.248 0.248 0.248
Ir1 0.495 0.495 0.495
Mo1 0.756 0.756 0.756

---

(5)
# GGA-PBE AgMoIr4, relaxed
# **Final energy**: -46.98 eV per cell
# **Space group**: F-43m (216)
data_AgMoIr4
_chemical_formula_sum 'Ag1 Mo1 Ir4'
_symmetry_space_group_name_H-M 'P 1'
_symmetry_Int_Tables_number 1
_cell_length_a 5.157
_cell_length_b 5.157
_cell_length_c 5.157
_cell_angle_alpha 60.00
_cell_angle_beta 60.00
_cell_angle_gamma 60.00
loop_
_symmetry_equiv_pos_as_xyz
'x,y,z'
loop_
_atom_site_label
_atom_site_fract_x
_atom_site_fract_y
_atom_site_fract_z
Ag1 0.000 0.000 0.000
Mo1 0.750 0.750 0.750
Ir1 0.876 0.375 0.375
Ir2 0.375 0.375 0.876
Ir3 0.375 0.876 0.375
Ir4 0.375 0.375 0.375

---

(6)
# GGA-PBE Ag2MoIr, relaxed
# **Final energy**: -23.65 eV per cell
# **Space group**: P2/m (10)
# **ΔE to the lowest computed polymorph**: 1.234 eV per formula unit
data_Ag2MoIr
_chemical_formula_sum 'Ag2 Mo1 Ir1'
_symmetry_space_group_name_H-M 'P 1'
_symmetry_Int_Tables_number 1
_cell_length_a 4.984
_cell_length_b 2.774
_cell_length_c 4.767
_cell_angle_alpha 87.61
_cell_angle_beta 90.00
_cell_angle_gamma 90.00
loop_
_symmetry_equiv_pos_as_xyz
'x,y,z'
loop_
_atom_site_label
_atom_site_fract_x
_atom_site_fract_y
_atom_site_fract_z
Ag1 0.000 0.012 0.000
Ag2 0.000 0.488 0.500
Ir1 0.500 0.250 0.250
Mo1 0.500 0.750 0.750

---

Sequential ΔE_f output: 0.255; 0.490; 0.445; 0.128; 0.357; 0.437 eV per atom